First-principles (PBE) data for an optimized crystal structure of La2TlHg4, as listed in Alexandria.

Output
E_form   18 meV per atom
DFT total energy   -1.90 eV per atom
DOS(E_F)   0.9092 states/eV per atom

Unit cell a=8.9309 b=8.9309 c=8.9309 alpha=143.51 beta=143.51 gamma=52.57
Atoms (fractional coordinates):
La1 0.1152 0.1152 0.0000
La2 0.8848 0.8848 0.0000
Tl1 0.5000 0.5000 0.0000
Hg1 0.0000 0.5000 0.5000
Hg2 0.3098 0.3098 0.0000
Hg3 0.5000 0.0000 0.5000
Hg4 0.6902 0.6902 0.0000